1.
VASP calculation (PBE-GGA) on crystalline SmDyPb at its relaxed geometry.

Output
The density of states at the Fermi level is 4.269 states/eV/f.u. As for the formation enthalpy at 0 K: -0.18 eV per atom.

Lattice parameters (Å, degrees): 4.4270 19.8740 4.4259 90.00 90.00 90.00
Space group Cmc2_1 (No. 36)
Asymmetric unit:
1 Sm 0.0000 0.0946 0.0000 (multiplicity 4)
2 Dy 0.0000 0.2893 0.9981 (multiplicity 4)
3 Pb 0.0000 0.4467 0.0001 (multiplicity 4)



2.
VASP calculation (PBE-GGA) on crystalline Sr2LiBi at its relaxed geometry.

Output
The density of states at the Fermi level is 2.310 states/eV/f.u. As for the formation enthalpy at 0 K: -0.07 eV per atom.

Lattice parameters (Å, degrees): 5.4206 5.4206 22.6175 90.00 90.00 90.00
Space group I-42d (No. 122)
Asymmetric unit:
1 Sr 0.2342 0.2500 0.1250 (multiplicity 8)
2 Li 0.0000 0.0000 0.5000 (multiplicity 4)
3 Bi 0.0000 0.0000 0.0000 (multiplicity 4)



Calculated values (eV/atom) of raw total energy for the records, taken in order: -4.52 -2.36.